--- a ---
TbYScTl | PBE | optimized geometry

Properties
Total magnetization ... 0.367 μB/atom

Cell: 5.3785 5.3785 5.3785 Å, 60.00 60.00 60.00°
Last column: nearest neighbours and their distance in Å.
Element x y z (fractional)
Tb (0.0000, 0.0000, 0.0000)  4 Tl 3.29, 4 Sc 3.29
Y (0.5000, 0.5000, 0.5000)  4 Tl 3.29, 4 Sc 3.29
Sc (0.2500, 0.2500, 0.2500)  4 Tb 3.29, 4 Y 3.29
Tl (0.7500, 0.7500, 0.7500)  4 Tb 3.29, 4 Y 3.29

---

--- b ---
TbYScTl | PBE | optimized geometry

Properties
Total magnetization ... 0.306 μB/atom

Cell: 4.7204 4.7697 4.8053 Å, 90.00 90.00 90.00°
Last column: nearest neighbours and their distance in Å.
Element x y z (fractional)
Tb (0.0000, 0.0000, 0.0000)  4 Sc 3.36, 4 Tl 3.37, 4 Y 3.39
Y (0.0000, 0.5000, 0.5000)  4 Tl 3.36, 4 Sc 3.37, 4 Tb 3.39
Sc (0.5000, 0.5000, 0.0000)  4 Tb 3.36, 4 Y 3.37, 4 Tl 3.39
Tl (0.5000, 0.0000, 0.5000)  4 Y 3.36, 4 Tb 3.37, 4 Sc 3.39

---

Going by the computed energies, the most stable comes first: b, a.